This record from Alexandria describes a relaxed AcLa3Pm2Te6 crystal. The functional is PBE.

Cell lengths 7.9296, 7.9296, 7.9152 Å; angles 99.63, 99.63, 120.25 degrees
Positions (direct):
Ac 0.0000 0.0000 0.0000
La 0.1614 0.8386 0.5000
La 0.5000 0.5000 0.5000
La 0.8386 0.1614 0.5000
Pm 0.3321 0.6679 0.0000
Pm 0.6679 0.3321 0.0000
Te 0.0838 0.4269 0.2502
Te 0.2629 0.2629 0.7562
Te 0.4269 0.0838 0.2502
Te 0.5731 0.9162 0.7498
Te 0.7371 0.7371 0.2438
Te 0.9162 0.5731 0.7498

* E_form (uncorrected): -1.514 eV per atom

This record from Alexandria describes a relaxed Pm4Pr8Nd crystal. The functional is PBE.

Cell lengths 7.9609, 7.9609, 7.9609 Å; angles 97.50, 97.50, 97.50 degrees
Positions (direct):
Pm 0.0000 0.0000 0.0000
Pm 0.0000 0.5000 0.5000
Pm 0.5000 0.0000 0.5000
Pm 0.5000 0.5000 0.0000
Pr 0.1665 0.1665 0.6698
Pr 0.1665 0.6698 0.1665
Pr 0.2423 0.2423 0.2423
Pr 0.3302 0.8335 0.8335
Pr 0.6698 0.1665 0.1665
Pr 0.7577 0.7577 0.7577
Pr 0.8335 0.3302 0.8335
Pr 0.8335 0.8335 0.3302
Nd 0.5000 0.5000 0.5000

* raw total energy: -57.0 eV per cell

This record from Alexandria describes a relaxed Ir4Ru5Rh crystal. The functional is PBE.

Cell lengths 2.7180, 2.7180, 19.2107 Å; angles 90.00, 90.00, 90.00 degrees
Positions (direct):
Ir 0.0000 0.0000 0.1001
Ir 0.0000 0.0000 0.3006
Ir 0.0000 0.0000 0.6994
Ir 0.0000 0.0000 0.8999
Ru 0.5000 0.5000 0.0000
Ru 0.5000 0.5000 0.2000
Ru 0.5000 0.5000 0.3996
Ru 0.5000 0.5000 0.6004
Ru 0.5000 0.5000 0.8000
Rh 0.0000 0.0000 0.5000

* raw total energy: -89.1 eV per cell

This record from Alexandria describes a relaxed RePW crystal. The functional is PBE.

Cell lengths 4.4881, 4.4881, 4.4881 Å; angles 141.89, 125.99, 68.01 degrees
Positions (direct):
Re 0.0000 0.0000 0.0000
P 0.6740 0.6740 0.0000
W 0.3441 0.3441 0.0000

* ΔE to the lowest computed polymorph: 0.306 eV per atom

This record from Alexandria describes a relaxed MgTa2Nb crystal. The functional is PBE.

Cell lengths 10.4180, 10.4180, 10.4180 Å; angles 158.02, 158.02, 31.28 degrees
Positions (direct):
Mg 0.0000 0.0000 0.0000
Mg 0.7500 0.2500 0.5000
Ta 0.1343 0.6250 0.0093
Ta 0.3750 0.3843 0.5093
Ta 0.6157 0.1250 0.9907
Ta 0.8750 0.8657 0.4907
Nb 0.2500 0.7500 0.5000
Nb 0.5000 0.5000 0.0000

* raw total energy: -64.9 eV per cell

This record from Alexandria describes a relaxed Tm6PbSe5 crystal. The functional is PBE.

Cell lengths 7.0683, 7.0683, 7.1109 Å; angles 99.54, 99.54, 119.99 degrees
Positions (direct):
Tm 0.0717 0.4135 0.7404
Tm 0.2427 0.2427 0.2557
Tm 0.4135 0.0717 0.7404
Tm 0.5865 0.9283 0.2596
Tm 0.7573 0.7573 0.7443
Tm 0.9283 0.5865 0.2596
Pb 0.5000 0.5000 0.0000
Se 0.0000 0.0000 0.5000
Se 0.1680 0.8320 0.0000
Se 0.3371 0.6629 0.5000
Se 0.6629 0.3371 0.5000
Se 0.8320 0.1680 0.0000

* E_form (uncorrected): -1.462 eV per atom

This record from Alexandria describes a relaxed Re3SbH crystal. The functional is PBE.

Cell lengths 4.0671, 4.0671, 4.0671 Å; angles 90.00, 90.00, 90.00 degrees
Positions (direct):
Re 0.0000 0.0000 0.5000
Re 0.0000 0.5000 0.0000
Re 0.5000 0.0000 0.0000
Sb 0.5000 0.5000 0.5000
H 0.0000 0.0000 0.0000

* ΔE to the lowest computed polymorph: 0.000 eV per atom

This record from Alexandria describes a relaxed Y2Ho4Th crystal. The functional is PBE.

Cell lengths 3.5895, 3.5895, 20.0711 Å; angles 95.15, 95.15, 60.01 degrees
Positions (direct):
Y 0.0000 0.0000 0.0000
Y 0.0934 0.0934 0.2848
Ho 0.2855 0.2855 0.8576
Ho 0.3801 0.3801 0.1419
Ho 0.8075 0.8075 0.4281
Ho 0.9046 0.9046 0.7166
Th 0.1892 0.1892 0.5724

* ΔE to the lowest computed polymorph: 0.000 eV per atom

This record from Alexandria describes a relaxed Mg2PaSn crystal. The functional is PBE.

Cell lengths 3.0812, 3.0812, 10.1950 Å; angles 90.00, 90.00, 90.00 degrees
Positions (direct):
Mg 0.0000 0.0000 0.2494
Mg 0.0000 0.0000 0.7506
Pa 0.5000 0.5000 0.5000
Sn 0.5000 0.5000 0.0000

* ΔE to the lowest computed polymorph: 0.151 eV per atom

This record from Alexandria describes a relaxed Sm6Ir2O crystal. The functional is PBE.

Cell lengths 6.4936, 7.2387, 11.5074 Å; angles 90.00, 122.48, 90.00 degrees
Positions (direct):
Sm 0.1140 0.0375 0.2425
Sm 0.1140 0.4625 0.7425
Sm 0.2374 0.6814 0.0647
Sm 0.2374 0.8186 0.5647
Sm 0.3761 0.1709 0.0606
Sm 0.3761 0.3291 0.5606
Sm 0.6239 0.6709 0.4394
Sm 0.6239 0.8291 0.9394
Sm 0.7626 0.1814 0.4353
Sm 0.7626 0.3186 0.9353
Sm 0.8860 0.5375 0.2575
Sm 0.8860 0.9625 0.7575
Ir 0.3068 0.1087 0.7565
Ir 0.3068 0.3913 0.2565
Ir 0.6932 0.6087 0.7435
Ir 0.6932 0.8913 0.2435
O 0.0000 0.0000 0.0000
O 0.0000 0.5000 0.5000

* E_form (uncorrected): -1.044 eV per atom

This record from Alexandria describes a relaxed Zr2TaSb crystal. The functional is PBE.

Cell lengths 4.6685, 4.6685, 3.8525 Å; angles 90.00, 90.00, 90.00 degrees
Positions (direct):
Zr 0.0000 0.5000 0.0000
Zr 0.5000 0.0000 0.0000
Ta 0.0000 0.0000 0.5000
Sb 0.5000 0.5000 0.5000

* E_form (uncorrected): -0.278 eV per atom

This record from Alexandria describes a relaxed AcBiP2Pd4 crystal. The functional is PBE.

Cell lengths 4.3675, 4.3675, 8.4360 Å; angles 90.00, 90.00, 90.00 degrees
Positions (direct):
Ac 0.0000 0.0000 0.0000
Bi 0.0000 0.0000 0.5000
P 0.5000 0.5000 0.1415
P 0.5000 0.5000 0.8585
Pd 0.0000 0.5000 0.2799
Pd 0.0000 0.5000 0.7201
Pd 0.5000 0.0000 0.2799
Pd 0.5000 0.0000 0.7201

* raw total energy: -44.7 eV per cell

This record from Alexandria describes a relaxed Y2Tl2AsO6 crystal. The functional is PBE.

Cell lengths 5.8068, 5.8068, 6.8119 Å; angles 97.12, 97.12, 119.74 degrees
Positions (direct):
Y 0.1656 0.8344 0.0000
Y 0.8344 0.1656 0.0000
Tl 0.3376 0.6624 0.5000
Tl 0.6624 0.3376 0.5000
As 0.5000 0.5000 0.0000
O 0.1544 0.4546 0.8403
O 0.2499 0.2499 0.1641
O 0.4546 0.1544 0.8403
O 0.5454 0.8456 0.1597
O 0.7501 0.7501 0.8359
O 0.8456 0.5454 0.1597

* E_form (uncorrected): -1.921 eV per atom